[1]
First-principles (PBE) data for an optimized crystal structure of AlInMo, as listed in the Alexandria database.

Unit cell a=5.364 b=5.364 c=5.364 alpha=143.62 beta=143.62 gamma=52.39
Fractional coordinates of all 3 atoms:
Al1 0.000 0.000 0.000
In1 0.301 0.301 0.000
Mo1 0.620 0.620 0.000

**ΔH_f (0 K)**: 19.2 kJ/mol of atoms
**Magnetic moment**: 0.0 μB/f.u.
**Space group**: I4mm, No. 107
**Energy above the most stable polymorph in this dataset**: 0.0 meV/atom

[2]
First-principles (PBE) data for an optimized crystal structure of PrCdGa2Pt2, as listed in the Alexandria database.

Unit cell a=4.450 b=4.450 c=6.958 alpha=90.00 beta=90.00 gamma=120.00
Fractional coordinates of all 6 atoms:
Pr1 0.000 0.000 0.000
Cd1 0.000 0.000 0.500
Ga1 0.333 0.667 0.292
Ga2 0.667 0.333 0.708
Pt1 0.333 0.667 0.711
Pt2 0.667 0.333 0.289

**ΔH_f (0 K)**: -72.5 kJ/mol of atoms
**Magnetic moment**: 0.0 μB/f.u.
**Space group**: P-3m1, No. 164

[3]
First-principles (PBE) data for an optimized crystal structure of Re2OsBr, as listed in the Alexandria database.

Unit cell a=2.864 b=4.084 c=5.649 alpha=90.00 beta=104.67 gamma=90.00
Fractional coordinates of all 4 atoms:
Re1 0.000 0.000 0.000
Re2 0.368 0.500 0.734
Os1 0.770 0.000 0.539
Br1 0.133 0.500 0.273

**Magnetic moment**: 0.0 μB/f.u.
**Space group**: Pm, No. 6
**Energy above the most stable polymorph in this dataset**: 265.1 meV/atom

[4]
First-principles (PBE) data for an optimized crystal structure of NdTmPtI, as listed in the Alexandria database.

Unit cell a=8.360 b=8.360 c=8.360 alpha=28.96 beta=28.96 gamma=28.96
Fractional coordinates of all 4 atoms:
Nd1 0.000 0.000 0.000
Tm1 0.210 0.210 0.210
Pt1 0.600 0.600 0.600
I1 0.774 0.774 0.774

**Magnetic moment**: 0.0 μB/f.u.
**Space group**: R3m, No. 160

[5]
First-principles (PBE) data for an optimized crystal structure of LaGa2Ag8, as listed in the Alexandria database.

Unit cell a=5.598 b=5.598 c=8.748 alpha=90.00 beta=90.00 gamma=90.00
Fractional coordinates of all 11 atoms:
La1 0.000 0.000 0.000
Ga1 0.000 0.500 0.500
Ga2 0.500 0.000 0.500
Ag1 0.252 0.252 0.286
Ag2 0.252 0.252 0.714
Ag3 0.252 0.748 0.286
Ag4 0.252 0.748 0.714
Ag5 0.748 0.252 0.286
Ag6 0.748 0.252 0.714
Ag7 0.748 0.748 0.286
Ag8 0.748 0.748 0.714

**ΔH_f (0 K)**: 22.0 kJ/mol of atoms
**Magnetic moment**: 0.0 μB/f.u.
**Space group**: P4/mmm, No. 123

[6]
First-principles (PBE) data for an optimized crystal structure of CuIrRh6, as listed in the Alexandria database.

Unit cell a=4.685 b=4.685 c=7.689 alpha=114.20 beta=114.20 gamma=48.25
Fractional coordinates of all 8 atoms:
Cu1 0.000 0.000 0.000
Ir1 0.000 0.000 0.500
Rh1 0.247 0.247 0.372
Rh2 0.252 0.252 0.878
Rh3 0.499 0.499 0.253
Rh4 0.501 0.501 0.747
Rh5 0.748 0.748 0.122
Rh6 0.753 0.753 0.628

**ΔH_f (0 K)**: 1.8 kJ/mol of atoms
**Magnetic moment**: 0.0 μB/f.u.
**Space group**: C2/m, No. 12
**Energy above the most stable polymorph in this dataset**: 0.0 meV/atom

[7]
First-principles (PBE) data for an optimized crystal structure of TlBS4, as listed in the Alexandria database.

Unit cell a=7.634 b=7.634 c=8.750 alpha=94.94 beta=94.94 gamma=51.19
Fractional coordinates of all 12 atoms:
Tl1 0.177 0.177 0.351
Tl2 0.823 0.823 0.649
B1 0.425 0.425 0.556
B2 0.575 0.575 0.444
S1 0.066 0.779 0.068
S2 0.221 0.934 0.932
S3 0.282 0.718 0.500
S4 0.314 0.314 0.641
S5 0.686 0.686 0.359
S6 0.718 0.282 0.500
S7 0.779 0.066 0.068
S8 0.934 0.221 0.932

**Magnetic moment**: 0.0 μB/f.u.
**Space group**: C2/m, No. 12

[8]
First-principles (PBE) data for an optimized crystal structure of Mn2ZnSb, as listed in the Alexandria database.

Unit cell a=9.209 b=9.209 c=9.209 alpha=155.99 beta=155.99 gamma=34.22
Fractional coordinates of all 8 atoms:
Mn1 0.027 0.625 0.902
Mn2 0.375 0.277 0.402
Mn3 0.723 0.125 0.098
Mn4 0.875 0.973 0.598
Zn1 0.000 0.000 0.000
Zn2 0.750 0.250 0.500
Sb1 0.250 0.750 0.500
Sb2 0.500 0.500 0.000

**Magnetic moment**: 0.0 μB/f.u.
**Space group**: I-42d, No. 122
**Energy above the most stable polymorph in this dataset**: 440.3 meV/atom

DFT total energy in eV/cell, matching the order above: -16.72; -28.34; -33.92; -21.24; -31.29; -56.91; -53.24; -42.84